(1)
DFT (GGA-PBE) results for Tm2MnFe after structural relaxation.

The space group is P4/mmm (No. 123) and the conventional cell measures 3.369, 3.369 and 6.836 Å, with angles of 90.00, 90.00 and 90.00 degrees. The distinct sites, in fractional coordinates, are Tm at (0.000, 0.000, 0.235), Mn at (0.500, 0.500, 0.500) and Fe at (0.500, 0.500, 0.000).

Its spin magnetization is 1.030 μB/atom. The uncorrected energy is -26.05 eV/cell. The calculation puts the distance to the lowest polymorph of the same formula at 0.000 eV/atom. For the formation energy, the calculation gives 0.132 eV/atom.

(2)
DFT (GGA-PBE) results for SbPtW2 after structural relaxation.

The space group is R3m (No. 160, hexagonal axes) and the conventional cell measures 3.1583, 3.1583 and 25.5070 Å, with angles of 90.00, 90.00 and 120.00 degrees. The distinct sites, in fractional coordinates, are Sb at (0.0000, 0.0000, 0.0000), Pt at (0.0000, 0.0000, 0.2427), W at (0.0000, 0.0000, 0.4959) and W at (0.0000, 0.0000, 0.7563).

Its spin magnetization is 0.000 μB/atom. The uncorrected energy is -104.46 eV/cell. Its uncorrected formation energy is 312 meV per atom.